Run i
! SmTcW (PBE, optimized geometry); values from VASP
&SYSTEM
  ibrav = 0, nat = 3, ntyp = 3
/
ATOMIC_SPECIES
Sm 150.36 Sm.upf
Tc 98.00 Tc.upf
W 183.84 W.upf
CELL_PARAMETERS angstrom
0.000 3.193 3.193
3.193 0.000 3.193
3.193 3.193 0.000
ATOMIC_POSITIONS crystal
Sm 0.000 0.000 0.000
Tc 0.750 0.750 0.750
W 0.250 0.250 0.250
! spin magnetization = 0.0 μB per cell

***

Run ii
! SmTcW (PBE, optimized geometry); values from VASP
&SYSTEM
  ibrav = 0, nat = 3, ntyp = 3
/
ATOMIC_SPECIES
Sm 150.36 Sm.upf
Tc 98.00 Tc.upf
W 183.84 W.upf
CELL_PARAMETERS angstrom
0.000 3.195 3.195
3.195 0.000 3.195
3.195 3.195 0.000
ATOMIC_POSITIONS crystal
Sm 0.000 0.000 0.000
Tc 0.500 0.500 0.500
W 0.250 0.250 0.250
! spin magnetization = 0.0 μB per cell

***

We find run ii to be the most stable, with the next structure 1110 meV/atom higher.

***

Run i
! SmZnTc (PBE, optimized geometry); values from VASP
&SYSTEM
  ibrav = 0, nat = 3, ntyp = 3
/
ATOMIC_SPECIES
Sm 150.36 Sm.upf
Zn 65.41 Zn.upf
Tc 98.00 Tc.upf
CELL_PARAMETERS angstrom
0.000 3.323 3.323
3.323 0.000 3.323
3.323 3.323 0.000
ATOMIC_POSITIONS crystal
Sm 0.000 0.000 0.000
Zn 0.250 0.250 0.250
Tc 0.750 0.750 0.750
! spin magnetization = 1.9 μB per cell

***

Run ii
! SmZnTc (PBE, optimized geometry); values from VASP
&SYSTEM
  ibrav = 0, nat = 3, ntyp = 3
/
ATOMIC_SPECIES
Sm 150.36 Sm.upf
Zn 65.41 Zn.upf
Tc 98.00 Tc.upf
CELL_PARAMETERS angstrom
0.000 3.194 3.194
3.194 0.000 3.194
3.194 3.194 0.000
ATOMIC_POSITIONS crystal
Sm 0.000 0.000 0.000
Zn 0.250 0.250 0.250
Tc 0.500 0.500 0.500
! spin magnetization = 0.7 μB per cell

***

We find run ii to be the most stable, with the next structure 619 meV/atom higher.